Computed, not measured: a relaxed Li3Cr2P3O12 crystal at the PBE+U level of DFT.

Cell: 8.725 8.455 14.632 Å, 55.12 90.00 90.00°
Site moments in Bohr magnetons follow the coordinates.
Fractional positions:
1 Li 0.988 0.776 0.654  0.00
2 Li 0.410 0.108 0.310  0.00
3 Li 0.718 0.499 0.824  0.00
4 Li 0.218 0.501 0.676  0.00
5 Li 0.910 0.892 0.190  0.00
6 Li 0.488 0.224 0.846  0.00
7 Li 0.512 0.776 0.154  0.00
8 Li 0.090 0.108 0.810  0.00
9 Li 0.782 0.499 0.324  0.00
10 Li 0.282 0.501 0.176  0.00
11 Li 0.590 0.892 0.690  0.00
12 Li 0.012 0.224 0.346  0.00
13 Cr 0.472 0.146 0.107  2.96
14 Cr 0.035 0.365 0.889  2.93
15 Cr 0.972 0.854 0.393  2.96
16 Cr 0.535 0.635 0.611  2.93
17 Cr 0.465 0.365 0.389  2.93
18 Cr 0.028 0.146 0.607  2.96
19 Cr 0.965 0.635 0.111  2.93
20 Cr 0.528 0.854 0.893  2.96
21 P 0.251 0.951 0.509  0.01
22 P 0.116 0.238 0.150  0.00
23 P 0.388 0.535 0.853  0.01
24 P 0.616 0.762 0.350  0.00
25 P 0.888 0.465 0.647  0.01
26 P 0.751 0.049 0.991  0.01
27 P 0.249 0.951 0.009  0.01
28 P 0.112 0.535 0.353  0.01
29 P 0.384 0.238 0.650  0.00
30 P 0.612 0.465 0.147  0.01
31 P 0.884 0.762 0.850  0.00
32 P 0.749 0.049 0.491  0.01
33 O 0.627 0.891 0.556  -0.01
34 O 0.833 0.045 0.398  -0.01
35 O 0.614 0.337 0.104  -0.01
36 O 0.924 0.624 0.813  -0.01
37 O 0.138 0.988 0.417  -0.01
38 O 0.294 0.213 0.169  -0.01
39 O 0.506 0.619 0.755  -0.01
40 O 0.080 0.334 0.028  0.01
41 O 0.230 0.515 0.812  -0.02
42 O 0.323 0.749 0.565  -0.01
43 O 0.024 0.049 0.225  -0.01
44 O 0.450 0.327 0.941  -0.01
45 O 0.950 0.673 0.559  -0.01
46 O 0.524 0.951 0.275  -0.01
47 O 0.823 0.251 0.935  -0.01
48 O 0.730 0.485 0.688  -0.02
49 O 0.580 0.666 0.472  0.01
50 O 0.006 0.381 0.745  -0.01
51 O 0.794 0.787 0.331  -0.01
52 O 0.638 0.012 0.083  -0.01
53 O 0.424 0.376 0.687  -0.01
54 O 0.114 0.663 0.396  -0.01
55 O 0.333 0.955 0.102  -0.01
56 O 0.127 0.109 0.944  -0.01
57 O 0.873 0.891 0.056  -0.01
58 O 0.667 0.045 0.898  -0.01
59 O 0.886 0.337 0.604  -0.01
60 O 0.576 0.624 0.313  -0.01
61 O 0.362 0.988 0.917  -0.01
62 O 0.206 0.213 0.669  -0.01
63 O 0.994 0.619 0.255  -0.01
64 O 0.420 0.334 0.528  0.01
65 O 0.270 0.515 0.312  -0.02
66 O 0.177 0.749 0.065  -0.01
67 O 0.476 0.049 0.725  -0.01
68 O 0.050 0.327 0.441  -0.01
69 O 0.550 0.673 0.059  -0.01
70 O 0.976 0.951 0.775  -0.01
71 O 0.677 0.251 0.435  -0.01
72 O 0.770 0.485 0.188  -0.02
73 O 0.920 0.666 0.972  0.01
74 O 0.494 0.381 0.245  -0.01
75 O 0.706 0.787 0.831  -0.01
76 O 0.862 0.012 0.583  -0.01
77 O 0.076 0.376 0.187  -0.01
78 O 0.386 0.663 0.896  -0.01
79 O 0.167 0.955 0.602  -0.01
80 O 0.373 0.109 0.444  -0.01

Values from the calculation:
* total moment: 5.99 μB/f.u.
* energy relative to the lowest polymorph listed for this composition: 5.2 meV/atom
* Fermi-level density of states: 0.00 states/eV per cell